A relaxed CoS2BrO crystal, computed with GGA+U. Values from VASP.

Final energy in eV/atom: -3.031
Magnetic moment in Bohr magnetons per cell: 2.91

Geometry as Quantum ESPRESSO input:
```
&SYSTEM
  ibrav = 0, nat = 5, ntyp = 4
/
ATOMIC_SPECIES
S 32.06 S.upf
Co 58.93 Co.upf
O 16.00 O.upf
Br 79.90 Br.upf
CELL_PARAMETERS angstrom
4.943 0.000 0.000
0.000 3.714 0.000
0.000 0.000 4.943
ATOMIC_POSITIONS angstrom
S 0.000 0.000 2.471
S 2.471 0.000 0.000
Co 2.471 1.857 2.471
O 0.000 1.857 0.000
Br 0.000 0.000 0.000
```